# 1
A relaxed Cr2Fe3 crystal. Source: Alexandria, functional PBE.

Output
* N(E_F): 7.447 states/eV per cell
* magnetic moment: 0.65 μB per atom
* E_form: 174 meV/atom
* density: 8.1 g/cm³

```
Cr2Fe3
1.0
10.294 -1.251 0.002
10.294 1.251 0.002
10.142 0.000 2.164
Cr Fe
2 3
Direct
0.400 0.400 0.400
0.600 0.600 0.600
0.000 0.000 0.000
0.200 0.200 0.200
0.800 0.800 0.800
```

***

# 2
A relaxed CrFe crystal. Source: Alexandria, functional PBE.

Output
* N(E_F): 14.572 states/eV per cell
* magnetic moment: 0.00 μB per atom
* E_form: 475 meV/atom
* density: 7.5 g/cm³

```
CrFe
1.0
6.603 0.000 0.000
-3.302 5.719 0.000
0.000 0.000 3.796
Cr Fe
6 6
Direct
0.803 0.060 0.250
0.743 0.803 0.750
0.940 0.743 0.250
0.197 0.940 0.750
0.257 0.197 0.250
0.060 0.257 0.750
0.110 0.503 0.250
0.608 0.110 0.750
0.497 0.608 0.250
0.890 0.497 0.750
0.392 0.890 0.250
0.503 0.392 0.750
```

***

# 3
A relaxed CrFe2 crystal. Source: Alexandria, functional PBE.

Output
* N(E_F): 7.594 states/eV per cell
* magnetic moment: 0.00 μB per atom
* E_form: 124 meV/atom
* density: 8.4 g/cm³

```
CrFe2
1.0
-3.835 2.728 0.905
-0.962 -0.131 -3.682
-3.853 -5.820 1.214
Cr Fe
4 8
Direct
0.189 0.250 0.894
0.311 0.750 0.394
0.689 0.250 0.606
0.811 0.750 0.106
0.042 0.250 0.219
0.167 0.250 0.564
0.333 0.750 0.064
0.458 0.750 0.719
0.542 0.250 0.281
0.667 0.250 0.936
0.833 0.750 0.436
0.958 0.750 0.781
```

***

# 4
A relaxed CrFe crystal. Source: Alexandria, functional PBE.

Output
* N(E_F): 3.190 states/eV per cell
* magnetic moment: 0.95 μB per atom
* E_form: 83 meV/atom
* density: 7.9 g/cm³

```
CrFe
1.0
-0.448 -2.615 2.993
-2.522 -3.079 -0.395
1.426 -3.719 -0.364
Cr Fe
2 2
Direct
0.000 0.000 0.000
0.750 0.750 0.750
0.250 0.250 0.250
0.500 0.500 0.500
```

***

# 5
A relaxed CrFe crystal. Source: Alexandria, functional PBE.

Output
* N(E_F): 10.863 states/eV per cell
* magnetic moment: 0.00 μB per atom
* E_form: 141 meV/atom
* density: 8.2 g/cm³

```
CrFe
1.0
3.989 0.000 0.000
0.000 4.456 0.000
0.000 0.000 4.941
Cr Fe
4 4
Direct
0.250 0.119 0.112
0.750 0.381 0.612
0.250 0.619 0.388
0.750 0.881 0.888
0.250 0.088 0.628
0.750 0.412 0.128
0.250 0.588 0.872
0.750 0.912 0.372
```

***

# 6
A relaxed CrFe crystal. Source: Alexandria, functional PBE.

Output
* N(E_F): 5.058 states/eV per cell
* magnetic moment: 0.00 μB per atom
* E_form: 1088 meV/atom
* density: 6.3 g/cm³

```
CrFe
1.0
-0.776 3.653 -0.948
-2.818 -2.627 0.013
-0.846 0.929 4.271
Cr Fe
2 2
Direct
0.333 0.667 0.250
0.667 0.333 0.750
0.333 0.667 0.750
0.667 0.333 0.250
```

***

# 7
A relaxed CrFe5 crystal. Source: Alexandria, functional PBE.

Output
* N(E_F): 5.467 states/eV per cell
* magnetic moment: 0.92 μB per atom
* E_form: 299 meV/atom
* density: 7.4 g/cm³

```
CrFe5
1.0
-2.471 1.507 3.648
-1.222 -3.932 -2.176
2.334 -2.074 2.437
Cr Fe
1 5
Direct
0.000 0.000 0.000
0.000 0.500 0.500
0.333 0.667 0.000
0.500 0.000 0.500
0.500 0.500 0.500
0.667 0.333 0.000
```

***

# 8
A relaxed CrFe2 crystal. Source: Alexandria, functional PBE.

Output
* N(E_F): 2.725 states/eV per cell
* magnetic moment: 0.62 μB per atom
* E_form: 723 meV/atom
* density: 6.8 g/cm³

```
CrFe2
1.0
3.724 0.000 0.000
0.000 3.724 0.000
0.000 0.000 2.877
Cr Fe
1 2
Direct
0.000 0.000 0.000
0.000 0.500 0.500
0.500 0.000 0.500
```

***

# 9
A relaxed CrFe crystal. Source: Alexandria, functional PBE.

Output
* N(E_F): 15.373 states/eV per cell
* magnetic moment: 0.97 μB per atom
* E_form: 1545 meV/atom
* density: 4.0 g/cm³

```
CrFe
1.0
-4.659 1.088 -5.229
-5.336 -0.647 4.620
0.232 6.974 1.244
Cr Fe
8 8
Direct
0.205 0.205 0.205
0.205 0.795 0.795
0.795 0.205 0.795
0.795 0.795 0.205
0.705 0.705 0.705
0.705 0.295 0.295
0.295 0.705 0.295
0.295 0.295 0.705
0.380 0.380 0.380
0.380 0.620 0.620
0.620 0.380 0.620
0.620 0.620 0.380
0.880 0.880 0.880
0.880 0.120 0.120
0.120 0.880 0.120
0.120 0.120 0.880
```

***

# 10
A relaxed CrFe crystal. Source: Alexandria, functional PBE.

Output
* N(E_F): 5.338 states/eV per cell
* magnetic moment: 1.10 μB per atom
* E_form: 511 meV/atom
* density: 7.5 g/cm³

```
CrFe
1.0
2.469 0.000 0.000
-1.234 2.138 0.000
0.000 0.000 9.036
Cr Fe
2 2
Direct
0.333 0.667 0.056
0.667 0.333 0.556
0.333 0.667 0.315
0.667 0.333 0.815
```

***

# 11
A relaxed Cr5Fe crystal. Source: Alexandria, functional PBE.

Output
* N(E_F): 8.066 states/eV per cell
* magnetic moment: 0.34 μB per atom
* E_form: 270 meV/atom
* density: 7.5 g/cm³

```
Cr5Fe
1.0
1.167 -7.137 0.000
1.167 7.137 0.000
0.000 0.000 4.190
Cr Fe
5 1
Direct
0.010 0.990 0.000
0.342 0.658 0.000
0.674 0.326 0.000
0.437 0.563 0.500
0.766 0.234 0.500
0.104 0.896 0.500
```

***

# 12
A relaxed CrFe crystal. Source: Alexandria, functional PBE.

Output
* N(E_F): 10.391 states/eV per cell
* magnetic moment: 0.00 μB per atom
* E_form: 807 meV/atom
* density: 7.5 g/cm³

```
CrFe
1.0
-3.683 -2.894 0.294
2.679 -3.560 -1.476
1.047 -0.916 4.107
Cr Fe
4 4
Direct
0.811 0.189 0.000
0.311 0.311 0.500
0.689 0.689 0.500
0.189 0.811 0.000
0.685 0.685 0.000
0.185 0.815 0.500
0.815 0.185 0.500
0.315 0.315 0.000
```

***

# 13
A relaxed CrFe crystal. Source: Alexandria, functional PBE.

Output
* N(E_F): 19.045 states/eV per cell
* magnetic moment: 0.84 μB per atom
* E_form: 403 meV/atom
* density: 7.4 g/cm³

```
CrFe
1.0
-1.006 5.739 -3.871
-6.420 0.690 2.692
1.472 2.239 2.937
Cr Fe
8 8
Direct
0.698 0.622 0.500
0.302 0.378 0.500
0.378 0.698 0.500
0.622 0.302 0.500
0.823 0.471 0.000
0.177 0.529 0.000
0.529 0.823 0.000
0.471 0.177 0.000
0.969 0.312 0.500
0.031 0.688 0.500
0.688 0.969 0.500
0.312 0.031 0.500
0.868 0.804 0.000
0.132 0.196 0.000
0.196 0.868 0.000
0.804 0.132 0.000
```

***

# 14
A relaxed CrFe5 crystal. Source: Alexandria, functional PBE.

Output
* N(E_F): 7.348 states/eV per cell
* magnetic moment: 0.00 μB per atom
* E_form: 82 meV/atom
* density: 8.8 g/cm³

```
CrFe5
1.0
-0.162 1.189 2.158
-3.929 1.011 -2.265
-3.744 -4.026 1.936
Cr Fe
1 5
Direct
0.000 0.000 0.002
0.387 0.774 0.719
0.668 0.336 0.665
0.055 0.111 0.390
0.331 0.663 0.335
0.725 0.450 0.055
```

***

# 15
A relaxed CrFe5 crystal. Source: Alexandria, functional PBE.

Output
* N(E_F): 6.633 states/eV per cell
* magnetic moment: 0.05 μB per atom
* E_form: 81 meV/atom
* density: 8.7 g/cm³

```
CrFe5
1.0
2.469 0.000 0.000
1.234 6.476 0.000
0.000 0.000 3.953
Cr Fe
1 5
Direct
0.999 0.003 0.000
0.222 0.556 0.500
0.332 0.337 0.000
0.557 0.886 0.500
0.669 0.663 0.000
0.889 0.223 0.500
```

***

# 16
A relaxed CrFe2 crystal. Source: Alexandria, functional PBE.

Output
* N(E_F): 5.273 states/eV per cell
* magnetic moment: 0.11 μB per atom
* E_form: 138 meV/atom
* density: 8.3 g/cm³

```
CrFe2
1.0
1.634 6.382 -1.764
-1.772 -5.299 3.910
3.909 -0.817 0.664
Cr Fe
2 4
Direct
0.213 0.787 0.250
0.787 0.213 0.750
0.888 0.112 0.250
0.549 0.451 0.250
0.451 0.549 0.750
0.112 0.888 0.750
```

***

# 17
A relaxed CrFe8 crystal. Source: Alexandria, functional PBE.

Output
* E above lowest polymorph: 0.1058 eV per atom
* N(E_F): 9.904 states/eV per cell
* magnetic moment: 1.20 μB per atom
* E_form: 110 meV/atom
* density: 8.4 g/cm³

```
CrFe8
1.0
-3.750 3.750 1.759
3.750 -3.750 1.759
3.750 3.750 -1.759
Cr Fe
1 8
Direct
0.000 0.000 0.000
0.000 0.669 0.669
0.000 0.331 0.331
0.331 0.000 0.331
0.335 0.665 0.000
0.335 0.335 0.670
0.669 0.000 0.669
0.665 0.665 0.330
0.665 0.335 0.000
```

***

# 18
A relaxed CrFe6 crystal. Source: Alexandria, functional PBE.

Output
* N(E_F): 25.249 states/eV per cell
* magnetic moment: 1.46 μB per atom
* E_form: 222 meV/atom
* density: 7.6 g/cm³

```
CrFe6
1.0
-3.504 -1.752 0.479
-0.734 -0.671 -7.834
4.885 -9.672 0.370
Cr Fe
4 24
Direct
0.250 0.250 0.600
0.750 0.750 0.400
0.750 0.750 0.900
0.250 0.250 0.100
0.750 0.250 0.462
0.250 0.750 0.538
0.250 0.750 0.038
0.750 0.250 0.962
0.250 0.250 0.810
0.750 0.750 0.190
0.750 0.750 0.690
0.250 0.250 0.310
0.250 0.489 0.438
0.750 0.511 0.562
0.750 0.511 0.062
0.750 0.989 0.562
0.250 0.489 0.938
0.250 0.011 0.438
0.250 0.011 0.938
0.750 0.989 0.062
0.750 0.422 0.776
0.250 0.578 0.224
0.250 0.578 0.724
0.250 0.922 0.224
0.750 0.422 0.276
0.750 0.078 0.776
0.750 0.078 0.276
0.250 0.922 0.724
```

***

# 19
A relaxed CrFe2 crystal. Source: Alexandria, functional PBE.

Output
* N(E_F): 9.250 states/eV per cell
* magnetic moment: 0.27 μB per atom
* E_form: 158 meV/atom
* density: 7.7 g/cm³

```
CrFe2
1.0
-2.392 3.636 1.638
-0.111 -4.064 2.258
6.013 2.111 4.094
Cr Fe
4 8
Direct
0.333 0.667 0.065
0.333 0.667 0.435
0.667 0.333 0.565
0.667 0.333 0.935
0.000 0.000 0.000
0.000 0.000 0.500
0.170 0.340 0.750
0.170 0.830 0.750
0.340 0.170 0.250
0.660 0.830 0.750
0.830 0.170 0.250
0.830 0.660 0.250
```

***

# 20
A relaxed CrFe crystal. Source: Alexandria, functional PBE.

Output
* N(E_F): 7.985 states/eV per cell
* magnetic moment: 0.03 μB per atom
* E_form: 149 meV/atom
* density: 8.2 g/cm³

```
CrFe
1.0
1.438 0.031 -4.577
3.003 1.556 -3.403
4.223 -4.140 -0.250
Cr Fe
3 3
Direct
0.988 0.988 0.997
0.615 0.615 0.279
0.673 0.673 0.667
0.338 0.338 0.335
0.941 0.941 0.610
0.278 0.278 0.944
```

***

# 21
A relaxed Cr4Fe5 crystal. Source: Alexandria, functional PBE.

Output
* N(E_F): 7.764 states/eV per cell
* magnetic moment: 1.08 μB per atom
* E_form: 56 meV/atom
* density: 7.9 g/cm³

```
Cr4Fe5
1.0
-1.329 -0.864 -2.406
-1.136 -4.533 3.980
-4.314 3.216 2.953
Cr Fe
4 5
Direct
0.337 0.337 0.337
0.663 0.663 0.663
0.000 0.663 0.337
0.000 0.337 0.663
0.000 0.000 0.000
0.334 0.000 0.668
0.666 0.332 0.000
0.334 0.668 0.000
0.666 0.000 0.332
```

***

# 22
A relaxed CrFe2 crystal. Source: Alexandria, functional PBE.

Output
* N(E_F): 5.123 states/eV per cell
* magnetic moment: 0.04 μB per atom
* E_form: 128 meV/atom
* density: 8.4 g/cm³

```
CrFe2
1.0
-1.190 -1.556 -3.386
0.254 -2.238 3.198
-4.632 1.086 1.128
Cr Fe
2 4
Direct
0.333 0.667 0.250
0.667 0.333 0.750
0.000 0.000 0.000
0.000 0.000 0.500
0.333 0.667 0.750
0.667 0.333 0.250
```

***

# 23
A relaxed CrFe2 crystal. Source: Alexandria, functional PBE.

Output
* N(E_F): 16.273 states/eV per cell
* magnetic moment: 0.29 μB per atom
* E_form: 428 meV/atom
* density: 7.7 g/cm³

```
CrFe2
1.0
2.472 0.000 0.000
0.000 3.772 0.000
0.000 0.000 15.050
Cr Fe
4 8
Direct
0.000 0.250 0.626
0.000 0.750 0.374
0.500 0.250 0.874
0.500 0.750 0.126
0.000 0.250 0.036
0.000 0.250 0.188
0.000 0.750 0.812
0.000 0.750 0.964
0.500 0.250 0.312
0.500 0.250 0.464
0.500 0.750 0.536
0.500 0.750 0.688
```

***

# 24
A relaxed CrFe5 crystal. Source: Alexandria, functional PBE.

Output
* N(E_F): 6.813 states/eV per cell
* magnetic moment: 1.20 μB per atom
* E_form: 126 meV/atom
* density: 7.8 g/cm³

```
CrFe5
1.0
0.000 3.285 3.285
3.285 0.000 3.285
3.285 3.285 0.000
Cr Fe
1 5
Direct
0.000 0.000 0.000
0.872 0.376 0.376
0.750 0.750 0.750
0.376 0.872 0.376
0.376 0.376 0.376
0.376 0.376 0.872
```